(1)
Entry from the Alexandria database: Cr2CdBr after structural relaxation (PBE).

Cell and atoms, written as POSCAR:
```
Cr2CdBr
1.0
3.173 -3.992 0.000
3.173 3.992 0.000
0.000 0.000 3.266
Cr Cd Br
2 1 1
Direct
0.000 0.500 0.000 Cr
0.500 0.000 0.000 Cr
0.000 0.000 0.500 Cd
0.500 0.500 0.500 Br
```

Computed properties:
Polymorph energy (0 for the lowest one) = 388 meV/atom

=====

(2)
Entry from the Alexandria database: AgAsW2 after structural relaxation (PBE).

Cell and atoms, written as POSCAR:
```
AgAsW2
1.0
4.576 -1.477 0.000
4.576 1.477 0.000
-0.632 0.000 4.989
Ag As W
1 1 2
Direct
0.000 0.000 0.000 Ag
0.232 0.232 0.717 As
0.494 0.494 0.495 W
0.746 0.746 0.276 W
```

Computed properties:
DFT formation energy = 2.5 eV/f.u.

=====

(3)
Entry from the Alexandria database: TiTl2Cu2Se4 after structural relaxation (PBE).

Cell and atoms, written as POSCAR:
```
TiTl2Cu2Se4
1.0
7.144 -1.915 0.000
7.144 1.915 0.000
-2.500 0.000 7.566
Ti Tl Cu Se
1 2 2 4
Direct
0.000 0.000 0.000 Ti
0.137 0.137 0.580 Tl
0.863 0.863 0.420 Tl
0.318 0.318 0.018 Cu
0.682 0.682 0.982 Cu
0.190 0.190 0.180 Se
0.485 0.485 0.218 Se
0.515 0.515 0.782 Se
0.810 0.810 0.820 Se
```

Computed properties:
Uncorrected energy = -4.42 eV per atom

=====

(4)
Entry from the Alexandria database: AcGa2H8 after structural relaxation (PBE).

Cell and atoms, written as POSCAR:
```
AcGa2H8
1.0
5.213 -2.256 0.000
5.213 2.256 0.000
-2.490 0.000 5.583
Ac Ga H
1 2 8
Direct
0.000 0.000 0.000 Ac
0.194 0.194 0.697 Ga
0.806 0.806 0.303 Ga
0.159 0.609 0.237 H
0.172 0.172 0.422 H
0.370 0.370 0.847 H
0.391 0.841 0.763 H
0.609 0.159 0.237 H
0.630 0.630 0.153 H
0.828 0.828 0.578 H
0.841 0.391 0.763 H
```

Computed properties:
Uncorrected energy = -3.43 eV per atom

=====

DOS at the Fermi energy for the records above, in order: 3.65; 2.23; 1.23; 2.32 states/eV/f.u.